1.
A geometry-optimized Nb2ZnIrF structure. Source: Alexandria via LeMat-Bulk, functional GGA-PBE.

SG: P4/mmm, No. 123
Excess energy over the best structure of this formula in the dataset in eV per formula unit: 0.68

Cell and atoms, written as extended XYZ:
```
5
Lattice="4.9153 0.0000 0.0000 0.0000 3.6144 0.0000 0.0000 0.0000 4.9153" Properties=species:S:1:pos:R:3 pbc="T T T"
Ir 2.4576 1.8072 2.4576
Nb 0.0000 0.0000 2.4576
Nb 2.4576 0.0000 0.0000
Zn 0.0000 0.0000 0.0000
F 0.0000 1.8072 0.0000
```



2.
A geometry-optimized Cs2PrHF6 structure. Source: Alexandria via LeMat-Bulk, functional GGA-PBE.

SG: C2/m, No. 12
VASP energy in eV per cell: -50.76

Cell and atoms, written as extended XYZ:
```
10
Lattice="-5.0933 -0.8579 -3.7649 -4.1386 -4.1685 2.5480 -7.1154 1.4737 1.8603" Properties=species:S:1:pos:R:3 pbc="T T T"
H -4.6159 -2.5132 -0.6084
F -9.0951 0.3939 1.5963
F -4.7728 -1.9775 -1.6320
F -11.5745 -1.5752 2.2755
F -6.0467 -0.2306 0.8050
F -7.2522 -3.9466 -0.9528
F -10.3005 -3.3221 -0.1616
Cs -7.9374 -2.6002 1.9024
Cs -8.4099 -0.9526 -1.2590
Pr 0.0000 0.0000 0.0000
```



3.
A geometry-optimized Pm8DyTm6 structure. Source: Alexandria via LeMat-Bulk, functional GGA-PBE.

SG: R-3, No. 148
Energy of formation in eV per atom: 0.13
Excess energy over the best structure of this formula in the dataset in eV per formula unit: 0.00

Cell and atoms, written as extended XYZ:
```
15
Lattice="-3.7250 5.9680 5.6778 2.1187 -0.1896 8.7866 4.7160 6.3184 3.6500" Properties=species:S:1:pos:R:3 pbc="T T T"
Pm 0.3311 5.0248 9.3302
Pm 2.4127 5.0934 6.0218
Pm 3.5591 5.1916 11.5292
Pm 2.7787 7.0720 8.7842
Pm -0.0446 8.9161 9.3390
Pm 3.1544 3.1806 8.7754
Pm 0.6971 7.0034 12.0927
Pm -0.4493 6.9051 6.5852
Tm 4.3638 8.1665 13.7814
Tm 0.7637 2.1138 6.5675
Tm 2.3461 9.9830 11.5470
Tm 2.3966 10.8325 14.9586
Tm 0.7132 1.2643 3.1559
Tm -1.2540 3.9303 4.3331
Dy 0.0000 0.0000 0.0000
```



4.
A geometry-optimized Er3CdIn structure. Source: Alexandria via LeMat-Bulk, functional GGA-PBE.

SG: P6_3/mmc, No. 194
Energy of formation in eV per atom: -0.02
Excess energy over the best structure of this formula in the dataset in eV per formula unit: 1.45

Cell and atoms, written as extended XYZ:
```
10
Lattice="5.2488 0.0000 0.0000 0.0000 8.0987 -0.0013 0.0000 -4.0483 7.0142" Properties=species:S:1:pos:R:3 pbc="T T T"
Er 3.9366 -1.6712 5.6413
Er 1.3122 4.0489 4.2689
Er 1.3122 2.3760 1.3725
Er 3.9366 1.6743 5.6404
Er 3.9366 0.0015 2.7440
Er 1.3122 5.7216 1.3716
In 3.9366 4.0471 2.3387
In 1.3122 0.0032 4.6742
Cd 2.6244 0.0000 0.0000
Cd 0.0000 0.0000 0.0000
```



5.
A geometry-optimized Pm2Sm3Dy6Pb structure. Source: Alexandria via LeMat-Bulk, functional GGA-PBE.

SG: C2/m, No. 12
Energy of formation in eV per atom: -0.07

Cell and atoms, written as extended XYZ:
```
12
Lattice="-4.2335 0.2774 -4.4504 1.3380 -5.3887 2.6414 -7.2711 3.5695 8.5642" Properties=species:S:1:pos:R:3 pbc="T T T"
Dy -3.4217 0.5553 0.5193
Dy -6.1671 1.4322 5.9893
Dy -6.7449 -2.0971 6.2359
Dy -3.9994 -2.9740 0.7659
Dy -8.5648 -0.2463 3.9194
Dy -1.6018 -1.2955 2.8359
Pm -2.3728 -1.6148 -2.0821
Pm -0.5226 -3.4965 0.2731
Sm -6.9337 1.1109 1.0223
Sm -3.2329 -2.6527 5.7329
Sm -5.0833 -0.7709 3.3776
Pb 0.0000 0.0000 0.0000
```



6.
A geometry-optimized SmErMnRu structure. Source: Alexandria via LeMat-Bulk, functional GGA-PBE.

SG: F-43m, No. 216
Energy of formation in eV per atom: -0.03

Cell and atoms, written as extended XYZ:
```
4
Lattice="4.9332 0.0000 0.0000 2.4666 4.2723 0.0000 2.4666 1.4241 4.0279" Properties=species:S:1:pos:R:3 pbc="T T T"
Mn 2.4666 1.4241 1.0070
Er 0.0000 0.0000 0.0000
Ru 7.3998 4.2723 3.0210
Sm 4.9332 2.8482 2.0140
```



7.
A geometry-optimized NdYHgRu structure. Source: Alexandria via LeMat-Bulk, functional GGA-PBE.

SG: P4mm, No. 99
Energy of formation in eV per atom: -0.39
Excess energy over the best structure of this formula in the dataset in eV per formula unit: 0.00

Cell and atoms, written as extended XYZ:
```
4
Lattice="3.5374 0.0000 0.0000 0.0000 3.5374 0.0000 0.0000 0.0000 7.6577" Properties=species:S:1:pos:R:3 pbc="T T T"
Hg 0.0000 0.0000 0.6471
Y 1.7687 1.7687 2.6700
Nd 1.7687 1.7687 6.0510
Ru 0.0000 0.0000 4.2985
```



8.
A geometry-optimized K2SiTe structure. Source: Alexandria via LeMat-Bulk, functional GGA-PBE.

SG: I-42d, No. 122
Excess energy over the best structure of this formula in the dataset in eV per formula unit: 1.23

Cell and atoms, written as extended XYZ:
```
8
Lattice="-7.8051 0.5686 -5.2922 2.7205 -7.6474 -4.8339 -4.0894 -5.4053 -2.9819" Properties=species:S:1:pos:R:3 pbc="T T T"
K -4.9583 -6.7520 -6.0612
K -7.5315 -10.2044 -11.0693
K -0.3421 -6.0566 -4.4583
K -5.5160 -1.9551 -4.6272
Si -1.9556 -8.2960 -6.4394
Si -2.5423 -3.5394 -5.0631
Te -7.2184 -4.1880 -6.6686
Te 0.0000 0.0000 0.0000
```



| no. | M_tot (μB per atom) |
| --- | --- |
| 1 | 0.00 |
| 2 | 0.01 |
| 3 | 0.00 |
| 4 | 0.00 |
| 5 | 0.00 |
| 6 | 0.88 |
| 7 | 0.00 |
| 8 | 0.50 |